Compound: Y2AlFeC
Source: OQMD via LeMat-Bulk
Functional: GGA-PBE
Structure: relaxed

Lattice parameters (Å, degrees): 4.976 4.976 3.687 90.00 90.00 90.00
Element x y z (fractional)
Y 0.000 0.500 0.500
Y 0.500 0.000 0.500
C 0.500 0.500 0.500
Fe 0.500 0.500 0.000
Al 0.000 0.000 0.000

Values from the calculation:
* calculated total energy: -7.159 eV/atom
* SG: P4/mmm, No. 123